Record 1
Density functional theory data (SCAN) for YBe2Ir2 at its PBEsol-relaxed geometry.

Lattice parameters (Å, degrees): 3.9291 3.9291 5.5186 110.85 110.85 90.00
Element x y z (fractional)
Be: 0.2500 0.7500 0.5000
Be: 0.7500 0.2500 0.5000
Y: 0.0000 0.0000 0.0000
Ir: 0.6327 0.6327 0.2654
Ir: 0.3673 0.3673 0.7346

final energy: -182.588 eV per cell
energy of formation: -0.768 eV per atom
space group: No. 139



Record 2
Density functional theory data (SCAN) for ZnPt2N at its PBEsol-relaxed geometry.

Lattice parameters (Å, degrees): 4.1562 4.1562 4.1562 60.00 60.00 60.00
Element x y z (fractional)
Zn: 0.5000 0.5000 0.5000
Pt: 0.2500 0.2500 0.2500
Pt: 0.7500 0.7500 0.7500
N: 0.0000 0.0000 0.0000

final energy: -159.414 eV per cell
energy relative to the elements, uncorrected: 3.78 eV per formula unit
space group: No. 225



Record 3
Density functional theory data (SCAN) for InSiOs2 at its PBEsol-relaxed geometry.

Lattice parameters (Å, degrees): 3.0797 4.3561 4.3561 90.00 90.00 90.00
Element x y z (fractional)
In: 0.5000 0.0000 0.0000
Si: 0.5000 0.5000 0.5000
Os: 0.0000 0.5000 0.0000
Os: 0.0000 0.0000 0.5000

final energy: -186.021 eV per cell
energy relative to the elements, uncorrected: 1.14 eV per formula unit
space group: No. 123



Record 4
Density functional theory data (SCAN) for LaSe2N at its PBEsol-relaxed geometry.

Lattice parameters (Å, degrees): 5.4606 5.4606 7.4457 111.51 111.51 90.00
Element x y z (fractional)
La: 0.0000 0.0000 0.0000
La: 0.2500 0.7500 0.5000
N: 0.7500 0.2500 0.5000
N: 0.5000 0.5000 0.0000
Se: 0.5045 0.8750 0.2500
Se: 0.1250 0.2545 0.7500
Se: 0.6250 0.4955 0.7500
Se: 0.7455 0.3750 0.2500

final energy: -185.459 eV per cell
energy relative to the elements, uncorrected: -0.18 eV per formula unit
space group: No. 122



Record 5
Density functional theory data (SCAN) for Cd2TePb at its PBEsol-relaxed geometry.

Lattice parameters (Å, degrees): 3.9337 5.3593 5.6216 107.59 110.48 90.00
Element x y z (fractional)
Cd: 0.2454 0.2526 0.4908
Cd: 0.7546 0.7474 0.5092
Te: 0.5000 0.0000 0.0000
Pb: 0.0000 0.5000 0.0000

final energy: -173.723 eV per cell
energy relative to the elements, uncorrected: 0.14 eV per formula unit
space group: No. 12



Record 6
Density functional theory data (SCAN) for Zn2PtAu at its PBEsol-relaxed geometry.

Lattice parameters (Å, degrees): 2.9396 4.4460 4.8725 110.43 90.00 90.00
Element x y z (fractional)
Zn: 0.0000 0.0000 0.0000
Zn: 0.5000 0.0000 0.5000
Pt: 0.0000 0.5000 0.5000
Au: 0.5000 0.5000 0.0000

final energy: -167.539 eV per cell
energy of formation: -0.290 eV per atom
space group: No. 10



Record 7
Density functional theory data (SCAN) for ZrPtOF2 at its PBEsol-relaxed geometry.

Lattice parameters (Å, degrees): 3.9249 4.3056 4.3056 90.00 90.00 90.00
Element x y z (fractional)
O: 0.5000 0.0000 0.0000
Zr: 0.5000 0.5000 0.5000
Pt: 0.0000 0.0000 0.0000
F: 0.0000 0.0000 0.5000
F: 0.0000 0.5000 0.0000

final energy: -117.408 eV per cell
energy relative to the elements, uncorrected: -3.20 eV per formula unit
space group: No. 123



Record 8
Density functional theory data (SCAN) for Li2MnSiRu at its PBEsol-relaxed geometry.

Lattice parameters (Å, degrees): 4.3253 4.3253 4.4185 90.00 90.00 90.00
Element x y z (fractional)
Ru: 0.0000 0.0000 0.5000
Li: 0.0000 0.5000 0.0000
Li: 0.5000 0.0000 0.0000
Si: 0.0000 0.0000 0.0000
Mn: 0.5000 0.5000 0.5000

final energy: -66.134 eV per cell
energy relative to the elements, uncorrected: 1.74 eV per formula unit
space group: No. 123



Record 9
Density functional theory data (SCAN) for VTe4O12 at its PBEsol-relaxed geometry.

Lattice parameters (Å, degrees): 5.0711 5.7910 8.2276 79.03 90.08 89.51
Element x y z (fractional)
O: 0.1847 0.6790 0.5336
O: 0.8084 0.3457 0.4356
O: 0.6959 0.7619 0.3977
O: 0.8592 0.5921 0.1076
O: 0.3510 0.1835 0.6024
O: 0.2934 0.4531 0.3049
O: 0.6294 0.5035 0.7241
O: 0.1651 0.2796 0.9039
O: 0.3109 0.7466 0.9244
O: 0.1041 0.9129 0.2070
O: 0.8855 0.9760 0.7148
O: 0.6855 0.1222 0.0027
Te: 0.0522 0.0404 0.5063
Te: 0.4913 0.4939 0.5062
Te: 0.4876 0.4308 0.9491
Te: 0.0107 0.9643 0.9514
V: 0.9851 0.6332 0.2877

final energy: -261.950 eV per cell
energy relative to the elements, uncorrected: -20.68 eV per formula unit
space group: No. 1



Record 10
Density functional theory data (SCAN) for Ta4TlAg at its PBEsol-relaxed geometry.

Lattice parameters (Å, degrees): 5.4557 5.4557 5.4557 60.00 60.00 60.00
Element x y z (fractional)
Ta: 0.3750 0.8749 0.3750
Ta: 0.3750 0.3750 0.3750
Ta: 0.8749 0.3750 0.3750
Ta: 0.3750 0.3750 0.8749
Ag: 0.0000 0.0000 0.0000
Tl: 0.7500 0.7500 0.7500

final energy: -366.446 eV per cell
energy of formation: 0.602 eV per atom
space group: No. 216



Record 11
Density functional theory data (SCAN) for Be2Co at its PBEsol-relaxed geometry.

Lattice parameters (Å, degrees): 2.5873 3.5032 5.5766 90.00 103.41 90.00
Element x y z (fractional)
Co: 0.0952 0.7500 0.1904
Co: 0.9048 0.2500 0.8096
Be: 0.7617 0.7500 0.5233
Be: 0.5712 0.2500 0.1423
Be: 0.4288 0.7500 0.8577
Be: 0.2383 0.2500 0.4767

final energy: -53.773 eV per cell
energy of formation: -0.292 eV per atom
space group: No. 63



Record 12
Density functional theory data (SCAN) for Al3TePt at its PBEsol-relaxed geometry.

Lattice parameters (Å, degrees): 5.1018 5.1018 5.1018 90.00 90.00 90.00
Element x y z (fractional)
Al: 0.0000 0.0000 0.5000
Al: 0.5000 0.0000 0.0000
Al: 0.0000 0.5000 0.0000
Pt: 0.5000 0.5000 0.5000
Te: 0.0000 0.0000 0.0000

final energy: -124.104 eV per cell
energy relative to the elements, uncorrected: 6.60 eV per formula unit
space group: No. 221



Record 13
Density functional theory data (SCAN) for YFeSe2 at its PBEsol-relaxed geometry.

Lattice parameters (Å, degrees): 3.5478 3.6585 6.6007 106.09 105.59 90.00
Element x y z (fractional)
Y: 0.5458 0.5458 0.0917
Se: 0.9462 0.9462 0.8924
Se: 0.7189 0.2189 0.4378
Fe: 0.2890 0.7890 0.5781

final energy: -90.290 eV per cell
energy relative to the elements, uncorrected: -4.16 eV per formula unit
space group: No. 44



Record 14
Density functional theory data (SCAN) for TcNiP2 at its PBEsol-relaxed geometry.

Lattice parameters (Å, degrees): 3.1515 3.1515 4.9249 90.00 90.00 90.00
Element x y z (fractional)
Ni: 0.5000 0.5000 0.8209
Tc: 0.0000 0.0000 0.4603
P: 0.0000 0.0000 0.9410
P: 0.5000 0.5000 0.2778

final energy: -73.416 eV per cell
energy of formation: -0.346 eV per atom
space group: No. 99



Record 15
Density functional theory data (SCAN) for SnHBr2 at its PBEsol-relaxed geometry.

Lattice parameters (Å, degrees): 3.4567 3.4567 8.4144 78.15 78.15 60.00
Element x y z (fractional)
Br: 0.8873 0.8873 0.3380
Br: 0.1127 0.1127 0.6620
Sn: 0.0000 0.0000 0.0000
H: 0.5000 0.5000 0.5000

final energy: -76.930 eV per cell
space group: No. 166



Record 16
Density functional theory data (SCAN) for TeIrBr at its PBEsol-relaxed geometry.

Lattice parameters (Å, degrees): 3.8058 3.8058 6.0484 90.00 90.00 120.00
Element x y z (fractional)
Te: 0.3333 0.6667 0.4379
Br: 0.0000 0.0000 0.9024
Ir: 0.6667 0.3333 0.6598

final energy: -128.755 eV per cell
energy relative to the elements, uncorrected: -0.95 eV per formula unit
space group: No. 156



Record 17
Density functional theory data (SCAN) for Mg2CdAs at its PBEsol-relaxed geometry.

Lattice parameters (Å, degrees): 3.2369 3.7515 6.4850 90.00 89.93 90.00
Element x y z (fractional)
Mg: 0.9994 0.0000 0.7651
Mg: 0.0006 0.0000 0.2349
As: 0.5000 0.5000 0.0000
Cd: 0.5000 0.5000 0.5000

final energy: -61.508 eV per cell
energy of formation: -0.239 eV per atom
space group: No. 10



Record 18
Density functional theory data (SCAN) for Na2CuAg2 at its PBEsol-relaxed geometry.

Lattice parameters (Å, degrees): 5.0594 5.2987 5.2987 90.00 90.00 90.00
Element x y z (fractional)
Ag: 0.5000 0.0000 0.0000
Ag: 0.0000 0.0000 0.0000
Na: 0.0000 0.0000 0.5000
Na: 0.0000 0.5000 0.0000
Cu: 0.5000 0.5000 0.5000

final energy: -83.014 eV per cell
energy of formation: 0.670 eV per atom
space group: No. 123



Record 19
Density functional theory data (SCAN) for CoBr2Cl at its PBEsol-relaxed geometry.

Lattice parameters (Å, degrees): 3.0351 3.0351 9.6522 90.00 90.00 90.00
Element x y z (fractional)
Co: 0.5000 0.5000 0.7406
Cl: 0.0000 0.0000 0.5962
Br: 0.5000 0.5000 0.2521
Br: 0.0000 0.0000 0.9111

final energy: -64.604 eV per cell
energy relative to the elements, uncorrected: -0.40 eV per formula unit
space group: No. 99



Record 20
Density functional theory data (SCAN) for BiPPd3 at its PBEsol-relaxed geometry.

Lattice parameters (Å, degrees): 4.5178 4.5178 4.5178 90.00 90.00 90.00
Element x y z (fractional)
Pd: 0.5000 0.0000 0.0000
Pd: 0.0000 0.0000 0.5000
Pd: 0.0000 0.5000 0.0000
Bi: 0.5000 0.5000 0.5000
P: 0.0000 0.0000 0.0000

final energy: -188.464 eV per cell
energy of formation: -0.233 eV per atom
space group: No. 221